Ti7Ga3Si: optimized geometry, PBE.

Computed properties:
E_form (uncorrected) in kJ/mol of formula units: -198
M_tot in μB/f.u.: 4.142
Final energy in eV/atom: -6.53
Fermi-level density of states in states/eV/f.u.: 10.2

Unit cell a=6.748 b=6.748 c=6.748 alpha=138.59 beta=104.28 gamma=90.20
Sites, in units of the cell vectors:
Ti 0.000 0.000 0.000
Ti 0.092 0.759 0.333
Ti 0.307 0.500 0.807
Ti 0.425 0.759 0.667
Ti 0.575 0.241 0.333
Ti 0.693 0.500 0.193
Ti 0.908 0.241 0.667
Ga 0.275 0.275 0.000
Ga 0.500 0.000 0.500
Ga 0.725 0.725 0.000
Si 0.000 0.500 0.500

LiAcGd2: optimized geometry, PBE.

Computed properties:
M_tot in μB/f.u.: 15.421
Final energy in eV/atom: -8.35
Energy above the most stable polymorph in this dataset in meV per atom: 115.1
Fermi-level density of states in states/eV/f.u.: 6.4

Unit cell a=5.884 b=5.884 c=3.845 alpha=90.00 beta=90.00 gamma=90.00
Sites, in units of the cell vectors:
Li 0.000 0.000 0.000
Ac 0.500 0.500 0.000
Gd 0.000 0.500 0.500
Gd 0.500 0.000 0.500

BaCaAgIr2: optimized geometry, PBE.

Computed properties:
M_tot in μB/f.u.: 0.000
Final energy in eV/atom: -4.23
Fermi-level density of states in states/eV/f.u.: 4.0

Unit cell a=5.159 b=5.159 c=5.006 alpha=90.00 beta=90.00 gamma=90.00
Sites, in units of the cell vectors:
Ba 0.000 0.000 0.000
Ca 0.500 0.500 0.000
Ag 0.500 0.500 0.500
Ir 0.000 0.500 0.500
Ir 0.500 0.000 0.500

KTl2Cd2: optimized geometry, PBE.

Computed properties:
M_tot in μB/f.u.: 0.000
Final energy in eV/atom: -1.56
Energy above the most stable polymorph in this dataset in meV per atom: 26.1
Fermi-level density of states in states/eV/f.u.: 4.6

Unit cell a=9.303 b=9.303 c=3.546 alpha=90.00 beta=90.00 gamma=90.00
Sites, in units of the cell vectors:
K 0.000 0.000 0.000
K 0.500 0.500 0.000
Tl 0.141 0.359 0.000
Tl 0.359 0.859 0.000
Tl 0.641 0.141 0.000
Tl 0.859 0.641 0.000
Cd 0.154 0.654 0.500
Cd 0.346 0.154 0.500
Cd 0.654 0.846 0.500
Cd 0.846 0.346 0.500

Q: Which of these has the highest M_tot?
A: LiAcGd2

Q: What is the M_tot in the third record?
A: 0.000 μB/f.u.

Q: Which value of final energy does entry 2 give?
A: -8.35 eV/atom